Entry 1:
The following is a GGA-PBE calculation of a geometry-optimized Pu2TcRh structure, from the Alexandria database.

a = 3.3691 Å, b = 3.3691 Å, c = 24.7963 Å
α = 90.00°, β = 90.00°, γ = 120.00°
Space group R-3m (No. 166, hexagonal axes)
Symmetry-distinct sites (fractional):
Pu1 0.0000 0.0000 0.2500
Tc1 0.0000 0.0000 0.0000
Rh1 0.0000 0.0000 0.5000

## Properties
**Magnetization**: 28.06 μB/cell
**Crystal system**: trigonal
**D(E_F)**: 12.8 states/eV/f.u.
**V**: 20.3 A^3/atom
**E_form**: 0.0478 eV per atom

Entry 2:
The following is a GGA-PBE calculation of a geometry-optimized Pu12TcRh6 structure, from the Alexandria database.

a = 10.8016 Å, b = 10.8016 Å, c = 11.3851 Å
α = 90.00°, β = 90.00°, γ = 120.00°
Space group R-3 (No. 148, hexagonal axes)
Symmetry-distinct sites (fractional):
Pu1 0.0556 0.2353 0.4131
Pu2 0.0571 0.8718 0.7927
Tc1 0.0000 0.0000 0.0000
Rh1 0.0529 0.6020 0.7082

## Properties
**Magnetization**: 3.00 μB/cell
**Crystal system**: trigonal
**D(E_F)**: 60.7 states/eV/f.u.
**V**: 20.2 A^3/atom
**E_form**: -0.1992 eV per atom